# 1
# Sm3BiTe GGA-PBE relaxed
# **Calculated total energy**: -103.3 eV per cell
# **Polymorph energy (0 for the lowest one)**: 0.00 kJ per mole of atoms
# **Total magnetic moment**: 0.0 μB/f.u.
# **Energy relative to the elements, uncorrected**: -0.928 eV per atom
data_Sm3BiTe
_chemical_formula_sum 'Sm12 Bi4 Te4'
_cell_length_a 8.379
_cell_length_b 4.479
_cell_length_c 16.923
_cell_angle_alpha 90.00
_cell_angle_beta 90.00
_cell_angle_gamma 90.00
_symmetry_space_group_name_H-M 'P n m a'
_symmetry_Int_Tables_number 62
_symmetry_space_group_name_Hall '-P 2ac 2n'
loop_
_atom_site_label
_atom_site_type_symbol
_atom_site_fract_x
_atom_site_fract_y
_atom_site_fract_z
Sm1 Sm 0.013 0.250 0.106
Sm2 Sm 0.137 0.250 0.560
Sm3 Sm 0.169 0.750 0.274
Bi1 Bi 0.111 0.750 0.699
Te1 Te 0.231 0.250 0.950



# 2
# Sm5BiTe4 GGA-PBE relaxed
# **Calculated total energy**: -106.1 eV per cell
# **Polymorph energy (0 for the lowest one)**: 0.36 kJ per mole of atoms
# **Total magnetic moment**: 0.0 μB/f.u.
# **Energy relative to the elements, uncorrected**: -1.300 eV per atom
data_Sm5BiTe4
_chemical_formula_sum 'Sm10 Bi2 Te8'
_cell_length_a 4.470
_cell_length_b 4.470
_cell_length_c 31.550
_cell_angle_alpha 90.00
_cell_angle_beta 90.00
_cell_angle_gamma 90.00
_symmetry_space_group_name_H-M 'I 4/m m m'
_symmetry_Int_Tables_number 139
_symmetry_space_group_name_Hall '-I 4 2'
loop_
_atom_site_label
_atom_site_type_symbol
_atom_site_fract_x
_atom_site_fract_y
_atom_site_fract_z
Sm1 Sm 0.000 0.000 0.000
Sm2 Sm 0.000 0.000 0.201
Sm3 Sm 0.000 0.000 0.399
Bi1 Bi 0.000 0.000 0.500
Te1 Te 0.000 0.000 0.100
Te2 Te 0.000 0.000 0.300



# 3
# SmBi2Te4 GGA-PBE relaxed
# **Calculated total energy**: -57.3 eV per cell
# **Polymorph energy (0 for the lowest one)**: 0.00 kJ per mole of atoms
# **Total magnetic moment**: 0.0 μB/f.u.
# **Energy relative to the elements, uncorrected**: -0.513 eV per atom
data_SmBi2Te4
_chemical_formula_sum 'Sm2 Bi4 Te8'
_cell_length_a 8.442
_cell_length_b 8.457
_cell_length_c 8.470
_cell_angle_alpha 112.33
_cell_angle_beta 105.09
_cell_angle_gamma 105.05
_symmetry_space_group_name_H-M 'P 1'
_symmetry_Int_Tables_number 1
_symmetry_space_group_name_Hall 'P 1'
loop_
_atom_site_label
_atom_site_type_symbol
_atom_site_fract_x
_atom_site_fract_y
_atom_site_fract_z
Sm1 Sm 0.000 0.000 0.000
Sm2 Sm 0.498 0.801 0.194
Bi1 Bi 0.035 0.221 0.609
Bi2 Bi 0.416 0.935 0.795
Bi3 Bi 0.536 0.413 0.417
Bi4 Bi 0.917 0.602 0.131
Te1 Te 0.141 0.672 0.854
Te2 Te 0.282 0.063 0.370
Te3 Te 0.294 0.619 0.393
Te4 Te 0.339 0.283 0.995
Te5 Te 0.641 0.660 0.866
Te6 Te 0.780 0.173 0.258
Te7 Te 0.796 0.198 0.816
Te8 Te 0.839 0.799 0.477



# 4
# Sm3Bi2Te GGA-PBE relaxed
# **Calculated total energy**: -126.8 eV per cell
# **Polymorph energy (0 for the lowest one)**: 0.00 kJ per mole of atoms
# **Total magnetic moment**: 0.0 μB/f.u.
# **Energy relative to the elements, uncorrected**: -1.105 eV per atom
data_Sm3Bi2Te
_chemical_formula_sum 'Sm12 Bi8 Te4'
_cell_length_a 7.828
_cell_length_b 13.584
_cell_length_c 7.834
_cell_angle_alpha 90.00
_cell_angle_beta 109.49
_cell_angle_gamma 90.00
_symmetry_space_group_name_H-M 'C 1 2/c 1'
_symmetry_Int_Tables_number 15
_symmetry_space_group_name_Hall '-C 2yc'
loop_
_atom_site_label
_atom_site_type_symbol
_atom_site_fract_x
_atom_site_fract_y
_atom_site_fract_z
Sm1 Sm 0.249 0.084 0.001
Sm2 Sm 0.250 0.250 0.500
Bi1 Bi 0.000 0.083 0.250
Bi2 Bi 0.000 0.250 0.750
Te1 Te 0.000 0.416 0.250



# 5
# SmBi2Te4 GGA-PBE relaxed
# **Calculated total energy**: -114.5 eV per cell
# **Polymorph energy (0 for the lowest one)**: 0.23 kJ per mole of atoms
# **Total magnetic moment**: 0.0 μB/f.u.
# **Energy relative to the elements, uncorrected**: -0.511 eV per atom
data_SmBi2Te4
_chemical_formula_sum 'Sm4 Bi8 Te16'
_cell_length_a 4.637
_cell_length_b 14.467
_cell_length_c 14.767
_cell_angle_alpha 90.00
_cell_angle_beta 90.00
_cell_angle_gamma 90.00
_symmetry_space_group_name_H-M 'C m c m'
_symmetry_Int_Tables_number 63
_symmetry_space_group_name_Hall '-C 2c 2'
loop_
_atom_site_label
_atom_site_type_symbol
_atom_site_fract_x
_atom_site_fract_y
_atom_site_fract_z
Sm1 Sm 0.000 0.125 0.250
Bi1 Bi 0.000 0.371 0.065
Te1 Te 0.000 0.000 0.000
Te2 Te 0.000 0.277 0.624
Te3 Te 0.000 0.478 0.250



# 6
# Sm2BiTe2 GGA-PBE relaxed
# **Calculated total energy**: -96.8 eV per cell
# **Total magnetic moment**: 0.0 μB/f.u.
# **Energy relative to the elements, uncorrected**: -0.918 eV per atom
data_Sm2BiTe2
_chemical_formula_sum 'Sm8 Bi4 Te8'
_cell_length_a 10.568
_cell_length_b 11.955
_cell_length_c 6.083
_cell_angle_alpha 90.00
_cell_angle_beta 116.35
_cell_angle_gamma 90.00
_symmetry_space_group_name_H-M 'C 1 2/c 1'
_symmetry_Int_Tables_number 15
_symmetry_space_group_name_Hall '-C 2yc'
loop_
_atom_site_label
_atom_site_type_symbol
_atom_site_fract_x
_atom_site_fract_y
_atom_site_fract_z
Sm1 Sm 0.000 0.108 0.250
Sm2 Sm 0.000 0.339 0.750
Bi1 Bi 0.000 0.378 0.250
Te1 Te 0.182 0.111 0.865



# 7
# SmBiTe3 GGA-PBE relaxed
# **Calculated total energy**: -88.0 eV per cell
# **Polymorph energy (0 for the lowest one)**: 1.14 kJ per mole of atoms
# **Total magnetic moment**: 0.0 μB/f.u.
# **Energy relative to the elements, uncorrected**: -0.794 eV per atom
data_SmBiTe3
_chemical_formula_sum 'Sm4 Bi4 Te12'
_cell_length_a 4.447
_cell_length_b 22.480
_cell_length_c 7.774
_cell_angle_alpha 90.00
_cell_angle_beta 90.00
_cell_angle_gamma 90.00
_symmetry_space_group_name_H-M 'C m c 21'
_symmetry_Int_Tables_number 36
_symmetry_space_group_name_Hall 'C 2c -2'
loop_
_atom_site_label
_atom_site_type_symbol
_atom_site_fract_x
_atom_site_fract_y
_atom_site_fract_z
Sm1 Sm 0.000 0.165 0.000
Bi1 Bi 0.000 0.350 0.003
Te1 Te 0.000 0.081 0.330
Te2 Te 0.000 0.251 0.672
Te3 Te 0.000 0.414 0.341



# 8
# SmBiTe3 GGA-PBE relaxed
# **Calculated total energy**: -66.2 eV per cell
# **Polymorph energy (0 for the lowest one)**: 0.00 kJ per mole of atoms
# **Total magnetic moment**: 0.0 μB/f.u.
# **Energy relative to the elements, uncorrected**: -0.806 eV per atom
data_SmBiTe3
_chemical_formula_sum 'Sm3 Bi3 Te9'
_cell_length_a 4.4511
_cell_length_b 4.4511
_cell_length_c 32.0577
_cell_angle_alpha 90.00
_cell_angle_beta 90.00
_cell_angle_gamma 120.00
_symmetry_space_group_name_H-M 'R 3 m'
_symmetry_Int_Tables_number 160
_symmetry_space_group_name_Hall 'R 3 -2"'
loop_
_atom_site_label
_atom_site_type_symbol
_atom_site_fract_x
_atom_site_fract_y
_atom_site_fract_z
Sm1 Sm 0.0000 0.0000 0.0000
Bi1 Bi 0.0000 0.0000 0.7961
Te1 Te 0.0000 0.0000 0.1818
Te2 Te 0.0000 0.0000 0.3957
Te3 Te 0.0000 0.0000 0.6150



total magnetic moment of number 7 (SmBiTe3)? 0.0 μB/f.u.